# 1
DFT (PBE) results for a relaxed structure of LiZrMo2.

a = 4.5582 Å, b = 4.5582 Å, c = 4.5582 Å
α = 60.00°, β = 60.00°, γ = 60.00°
Fractional coordinates of all 4 atoms:
Mo 0.2500 0.2500 0.2500
Zr 0.5000 0.5000 0.5000
Li 0.0000 0.0000 0.0000
Mo 0.7500 0.7500 0.7500

Properties
ρ   7192 kg/m³
E above lowest polymorph   400.3 meV/atom
Space group   Fm-3m, No. 225
Energy of formation   591 meV/atom
Crystal system   cubic

---

# 2
DFT (PBE) results for a relaxed structure of Hf6RePd.

a = 4.6355 Å, b = 4.6355 Å, c = 8.1596 Å
α = 73.50°, β = 73.50°, γ = 90.00°
Fractional coordinates of all 8 atoms:
Hf 0.2530 0.2529 0.4941
Hf 0.1106 0.6104 0.7792
Hf 0.8894 0.3896 0.2208
Hf 0.7470 0.7471 0.5059
Hf 0.3893 0.8896 0.2208
Pd 0.0000 0.0000 0.0000
Hf 0.6107 0.1104 0.7792
Re 0.5000 0.5000 0.0000

Properties
ρ   14102 kg/m³
Space group   I4/mmm, No. 139
Energy of formation   -250 meV/atom
Crystal system   tetragonal

---

# 3
DFT (PBE) results for a relaxed structure of Li2ZnSb.

a = 3.6544 Å, b = 3.6544 Å, c = 5.7316 Å
α = 90.00°, β = 90.00°, γ = 90.01°
Fractional coordinates of all 4 atoms:
Li 0.5000 0.5000 0.2545
Zn 0.5000 0.5000 0.7685
Sb 0.0000 0.0000 0.4928
Li 0.0000 0.0000 0.9842

Properties
ρ   4362 kg/m³
E_form (uncorrected)   -0.24 eV per atom
Space group   P4mm, No. 99
Crystal system   tetragonal

---

# 4
DFT (PBE) results for a relaxed structure of Mg2TcBr.

a = 8.6424 Å, b = 8.6424 Å, c = 8.6424 Å
α = 21.84°, β = 21.84°, γ = 21.84°
Each line ends with the local moment (μB).
Fractional coordinates of all 4 atoms:
Mg 0.9961 0.9961 0.9961  -0.01
Tc 0.2500 0.2500 0.2500  0.97
Mg 0.5039 0.5039 0.5039  -0.01
Br 0.7500 0.7500 0.7500  -0.01

Properties
ρ   4802 kg/m³
E_form (uncorrected)   0.01 eV per atom
E above lowest polymorph   42.8 meV/atom
Space group   R-3m, No. 166
Crystal system   trigonal

---

- The lowest ρ belongs to which entry?
  Li2ZnSb

---

- Number 4 is which compound?
  Mg2TcBr

---

- ρ of number 1 (LiZrMo2)?
  7192 kg/m³